Entry 1:
DFT (GGA-PBE) results for an optimized crystal structure of Nd2YGe3Pt4.

```
Nd2YGe3Pt4
1.0
4.3235 0.0000 0.0000
0.0000 4.3235 0.0000
0.0000 0.0000 11.1842
Nd Y Ge Pt
2 1 3 4
Direct
0.0000 0.5000 0.2218 Nd
0.5000 0.0000 0.7782 Nd
0.0000 0.0000 0.5000 Y
0.0000 0.5000 0.8781 Ge
0.5000 0.0000 0.1219 Ge
0.5000 0.5000 0.5000 Ge
0.0000 0.0000 0.0000 Pt
0.0000 0.5000 0.6579 Pt
0.5000 0.0000 0.3421 Pt
0.5000 0.5000 0.0000 Pt
```

## Properties
Space-group type: No. 115
E_form in eV/atom: -0.959


Entry 2:
DFT (GGA-PBE) results for an optimized crystal structure of Nd3Zn2GePt9.

```
Nd3Zn2GePt9
1.0
5.6636 0.0000 0.0000
-2.8318 4.9048 0.0000
0.0000 0.0000 11.6075
Nd Zn Ge Pt
3 2 1 9
Direct
0.0000 0.0000 0.0000 Nd
0.3333 0.6667 0.7551 Nd
0.6667 0.3333 0.2449 Nd
0.3333 0.6667 0.1703 Zn
0.6667 0.3333 0.8297 Zn
0.0000 0.0000 0.5000 Ge
0.0000 0.5000 0.0000 Pt
0.1711 0.3422 0.3446 Pt
0.1711 0.8289 0.3446 Pt
0.3422 0.1711 0.6554 Pt
0.5000 0.0000 0.0000 Pt
0.5000 0.5000 0.0000 Pt
0.6578 0.8289 0.3446 Pt
0.8289 0.1711 0.6554 Pt
0.8289 0.6578 0.6554 Pt
```

## Properties
Space-group type: No. 164
E_form in eV/atom: -0.695


Entry 3:
DFT (GGA-PBE) results for an optimized crystal structure of NdZn2GePt.

```
NdZn2GePt
1.0
4.2296 0.0000 0.0000
0.0000 4.2635 0.0000
0.0000 0.0000 10.5684
Nd Zn Ge Pt
2 4 2 2
Direct
0.0000 0.0000 0.0000 Nd
0.5000 0.5000 0.5000 Nd
0.0000 0.0000 0.3788 Zn
0.0000 0.5000 0.2509 Zn
0.5000 0.0000 0.7509 Zn
0.5000 0.5000 0.8788 Zn
0.0000 0.0000 0.6115 Ge
0.5000 0.5000 0.1115 Ge
0.0000 0.5000 0.7411 Pt
0.5000 0.0000 0.2411 Pt
```

## Properties
Space-group type: No. 44
E_form in eV/atom: -0.632


> Which of these has the highest E_form?

NdZn2GePt